# CaReTc2 (PBE, relaxed)
# Formation energy from the elements in eV/f.u.: 2.00
data_CaReTc2
_chemical_formula_sum 'Ca1 Re1 Tc2'
_symmetry_space_group_name_H-M 'P 1 2/m 1'
_symmetry_Int_Tables_number 10
_cell_length_a 2.890
_cell_length_b 4.092
_cell_length_c 6.320
_cell_angle_alpha 90.00
_cell_angle_beta 102.76
_cell_angle_gamma 90.00
loop_
_symmetry_equiv_pos_as_xyz
'x,y,z'
'-x,-y,-z'
'-x,y,-z'
'x,-y,z'
loop_
_atom_site_label
_atom_site_type_symbol
_atom_site_fract_x
_atom_site_fract_y
_atom_site_fract_z
_atom_site_occupancy
Ca1 Ca 0.000 0.000 0.000 1
Re1 Re 0.000 0.000 0.500 1
Tc1 Tc 0.398 0.500 0.692 1



# Ca3Pm4Pb4 (PBE, relaxed)
# Formation energy from the elements in eV/f.u.: -4.46
data_Ca3Pm4Pb4
_chemical_formula_sum 'Ca6 Pm8 Pb8'
_symmetry_space_group_name_H-M 'I m m m'
_symmetry_Int_Tables_number 71
_symmetry_space_group_name_Hall '-I 2 2'
_cell_length_a 3.690
_cell_length_b 10.003
_cell_length_c 19.273
_cell_angle_alpha 90.00
_cell_angle_beta 90.00
_cell_angle_gamma 90.00
loop_
_atom_site_label
_atom_site_type_symbol
_atom_site_fract_x
_atom_site_fract_y
_atom_site_fract_z
_atom_site_occupancy
Ca1 Ca 0.000 0.000 0.000 1
Ca2 Ca 0.000 0.500 0.090 1
Pm1 Pm 0.000 0.316 0.335 1
Pb1 Pb 0.000 0.000 0.273 1
Pb2 Pb 0.000 0.227 0.500 1



# ZrSnOs2 (PBE, relaxed)
# Formation energy from the elements in eV/f.u.: 2.34
data_ZrSnOs2
_chemical_formula_sum 'Zr4 Sn4 Os8'
_symmetry_space_group_name_H-M 'I -4 2 d'
_symmetry_Int_Tables_number 122
_symmetry_space_group_name_Hall 'I -4 2bw'
_cell_length_a 4.171
_cell_length_b 4.171
_cell_length_c 18.390
_cell_angle_alpha 90.00
_cell_angle_beta 90.00
_cell_angle_gamma 90.00
loop_
_atom_site_label
_atom_site_type_symbol
_atom_site_fract_x
_atom_site_fract_y
_atom_site_fract_z
_atom_site_occupancy
Zr1 Zr 0.000 0.000 0.000 1
Sn1 Sn 0.000 0.000 0.500 1
Os1 Os 0.190 0.250 0.125 1



# SbOs2Pt (PBE, relaxed)
# Formation energy (no corrections) in eV/atom: 0.562
data_SbOs2Pt
_chemical_formula_sum 'Sb1 Os2 Pt1'
_symmetry_space_group_name_H-M 'P 1 2/m 1'
_symmetry_Int_Tables_number 10
_cell_length_a 3.773
_cell_length_b 4.693
_cell_length_c 4.161
_cell_angle_alpha 90.00
_cell_angle_beta 90.47
_cell_angle_gamma 90.00
loop_
_symmetry_equiv_pos_as_xyz
'x,y,z'
'-x,-y,-z'
'-x,y,-z'
'x,-y,z'
loop_
_atom_site_label
_atom_site_type_symbol
_atom_site_fract_x
_atom_site_fract_y
_atom_site_fract_z
_atom_site_occupancy
Sb1 Sb 0.000 0.000 0.000 1
Os1 Os 0.327 0.500 0.229 1
Pt1 Pt 0.500 0.000 0.500 1



| no. | V (Å³/atom) |
| --- | --- |
| 1 | 18.22 |
| 2 | 32.34 |
| 3 | 20.00 |
| 4 | 18.42 |